# 1
Density functional theory data (PBE-GGA) for a relaxed FeNi2H2 crystal.

## Properties
The value obtained for the density of states at the Fermi level is 7.4 states/eV per cell. Its volume is 8.18 A^3/atom. The energy is -5.1665 eV per atom. Its space group is P4/mbm (127). The total moment is 6.759 Bohr magnetons per cell.

abc: 5.587 5.587 2.621
angles: 90.00 90.00 90.00
Atoms (fractional coordinates):
Fe: 0.000 0.000 0.000
Fe: 0.500 0.500 0.000
Ni: 0.162 0.338 0.500
Ni: 0.338 0.838 0.500
Ni: 0.662 0.162 0.500
Ni: 0.838 0.662 0.500
H: 0.206 0.706 0.000
H: 0.294 0.206 0.000
H: 0.706 0.794 0.000
H: 0.794 0.294 0.000



# 2
Density functional theory data (PBE-GGA) for a relaxed ReSbSe crystal.

## Properties
The value obtained for the density of states at the Fermi level is 3.8 states/eV per cell. Its volume is 22.37 A^3/atom. The energy is -5.4731 eV per atom. Its space group is F-43m (216). The value obtained for the formation energy without anion corrections is 1.212 eV/atom. The total moment is 0.001 Bohr magnetons per cell.

abc: 4.561 4.561 4.561
angles: 60.00 60.00 60.00
Atoms (fractional coordinates):
Re: 0.000 0.000 0.000
Sb: 0.250 0.250 0.250
Se: 0.500 0.500 0.500